PmPr2Y: optimized geometry, PBE.

Cell lengths 8.232, 8.232, 8.232 Å; angles 90.00, 90.00, 90.00 degrees
Sites, in units of the cell vectors:
1 Pm 0.000 0.000 0.000
2 Pm 0.000 0.500 0.500
3 Pm 0.500 0.000 0.500
4 Pm 0.500 0.500 0.000
5 Pr 0.250 0.250 0.250
6 Pr 0.250 0.250 0.750
7 Pr 0.250 0.750 0.250
8 Pr 0.250 0.750 0.750
9 Pr 0.750 0.250 0.250
10 Pr 0.750 0.250 0.750
11 Pr 0.750 0.750 0.250
12 Pr 0.750 0.750 0.750
13 Y 0.000 0.000 0.500
14 Y 0.000 0.500 0.000
15 Y 0.500 0.000 0.000
16 Y 0.500 0.500 0.500

Density ... 6.1 g/cm³
Distance to the lowest polymorph of the same formula ... 105 meV per atom
ΔH_f (0 K) ... 115 meV per atom